A relaxed Pr3Si5Ni6 crystal, computed with PBE-GGA.

Cell: 3.944 11.821 9.992 Å, 90.00 90.00 90.00°
Atoms (fractional coordinates):
Pr  0.250  0.092  0.250
Pr  0.250  0.408  0.250
Pr  0.250  0.750  0.246
Pr  0.750  0.250  0.754
Pr  0.750  0.592  0.750
Pr  0.750  0.908  0.750
Si  0.250  0.077  0.869
Si  0.250  0.423  0.869
Si  0.250  0.636  0.512
Si  0.250  0.750  0.901
Si  0.250  0.864  0.512
Si  0.750  0.136  0.488
Si  0.750  0.250  0.099
Si  0.750  0.364  0.488
Si  0.750  0.577  0.131
Si  0.750  0.923  0.131
Ni  0.250  0.050  0.582
Ni  0.250  0.250  0.504
Ni  0.250  0.250  0.985
Ni  0.250  0.450  0.582
Ni  0.250  0.579  0.008
Ni  0.250  0.921  0.008
Ni  0.750  0.079  0.992
Ni  0.750  0.421  0.992
Ni  0.750  0.550  0.418
Ni  0.750  0.750  0.015
Ni  0.750  0.750  0.496
Ni  0.750  0.950  0.418

Results
- Energy relative to the elements, uncorrected: -0.6826 eV/atom
- VASP energy: -171.40 eV per cell
- M_tot: 0.00 μB/atom
- N(E_F): 0.585 states/eV per atom